KAc2AuO4 PBE optimized geometry; crystal system = orthorhombic; energy = -6.35 eV per atom; spin magnetization = 0.000 μB/cell
1.0
1.981 -6.752 0.000
1.981 6.752 0.000
0.000 0.000 12.354
K Ac Au O
2 4 2 8
Cartesian
1.981 5.959 9.266
1.981 -5.959 3.089
1.981 1.708 6.999
1.981 1.708 11.532
1.981 -1.708 0.822
1.981 -1.708 5.355
1.981 3.394 3.089
1.981 -3.394 9.266
0.000 0.000 0.000
0.000 0.000 6.177
1.981 3.463 1.067
1.981 3.463 5.110
1.981 0.937 9.266
1.981 -0.937 3.089
1.981 -3.463 7.244
1.981 -3.463 11.287